[1]
A plane-wave DFT calculation with PBE was carried out for GdFeNi4 after structural relaxation.

The structure in POSCAR format:
```
GdFeNi4
1.0
0.000 3.457 3.457
3.457 0.000 3.457
3.457 3.457 0.000
Gd Fe Ni
1 1 4
Cartesian
0.000 0.000 0.000
5.185 5.185 5.185
2.600 2.600 2.600
4.314 4.314 2.600
4.314 2.600 4.314
2.600 4.314 4.314
```

Values from the calculation:
- Calculated density: 9.00 Mg/m³
- Energy: -7.7617 eV/atom
- Calculated formation energy: -150.2 meV/atom
- Crystal system: cubic
- Magnetic moment: 1.952 μB/atom

***

[2]
A plane-wave DFT calculation with PBE was carried out for YPSe2 after structural relaxation.

The structure in POSCAR format:
```
YPSe2
1.0
5.868 0.000 0.000
0.000 7.713 0.000
0.000 0.000 8.380
Y P Se
4 4 8
Cartesian
0.000 0.000 0.000
0.000 3.857 4.190
2.934 0.000 4.190
2.934 3.857 0.000
0.000 0.000 4.190
0.000 3.857 0.000
2.934 0.000 0.000
2.934 3.857 4.190
0.000 1.928 2.095
0.000 1.928 6.285
0.000 5.785 2.095
0.000 5.785 6.285
2.934 1.928 2.095
2.934 1.928 6.285
2.934 5.785 2.095
2.934 5.785 6.285
```

Values from the calculation:
- Calculated density: 4.86 Mg/m³
- Energy: -5.3591 eV/atom
- Uncorrected formation energy: -0.65 eV per atom
- Crystal system: orthorhombic
- Magnetic moment: 0.000 μB/atom

***

[3]
A plane-wave DFT calculation with PBE was carried out for CeNb4Se8 after structural relaxation.

The structure in POSCAR format:
```
CeNb4Se8
1.0
0.000 5.426 5.426
5.426 0.000 5.426
5.426 5.426 0.000
Ce Nb Se
1 4 8
Cartesian
0.000 0.000 0.000
6.528 4.323 4.323
4.323 6.528 4.323
4.323 4.323 6.528
6.528 6.528 6.528
3.993 3.993 3.993
6.858 6.858 3.993
6.858 3.993 6.858
9.275 7.002 7.002
7.002 9.275 7.002
7.002 7.002 9.275
9.275 9.275 9.275
3.993 6.858 6.858
```

Values from the calculation:
- Calculated density: 5.94 Mg/m³
- Energy: -6.6096 eV/atom
- Uncorrected formation energy: -0.91 eV per atom
- Crystal system: cubic
- Magnetic moment: 0.148 μB/atom

***

[4]
A plane-wave DFT calculation with PBE was carried out for PrZn8Ni2 after structural relaxation.

The structure in POSCAR format:
```
PrZn8Ni2
1.0
5.366 0.000 0.000
0.000 5.366 0.000
0.000 0.000 8.096
Pr Zn Ni
1 8 2
Cartesian
0.000 0.000 0.000
1.351 1.351 2.515
1.351 1.351 5.581
1.351 4.014 2.515
1.351 4.014 5.581
4.014 1.351 2.515
4.014 1.351 5.581
4.014 4.014 2.515
4.014 4.014 5.581
0.000 2.683 4.048
2.683 0.000 4.048
```

Values from the calculation:
- Calculated density: 5.57 Mg/m³
- Energy: -2.2591 eV/atom
- Calculated formation energy: 153.1 meV/atom
- Crystal system: tetragonal
- Magnetic moment: 0.000 μB/atom